Material: Li4La3Ag4
Method: DFT, PBE
State: relaxed

Cell: 7.9751 7.9751 7.9751 Å, 90.00 90.00 90.00°
With the nearest neighbours (Å) after each atom.
Space group I-43m (No. 217)
One atom of each set of equivalent atoms:
Li1 0.1214 0.1214 0.8786 [8 per cell]  4 Ag 2.47-2.71, 3 Li 2.74
La1 0.0000 0.0000 0.5000 [6 per cell]  4 Ag 3.29, 4 Li 3.32
Ag1 0.1998 0.1998 0.1998 [8 per cell]  4 Li 2.47-2.71

## Properties
* ΔE_f: -12.5 kJ per mole of atoms
* spin magnetization: 0.000 μB per cell
* E above lowest polymorph: 55 meV/atom
* E: -3.207 eV/atom